Entry 1:
# Ho6SiTe3As2, relaxed, DFT GGA-PBE
# - Calculated total energy: -0.416 Ry per atom
# - Volume: 321 Å³/f.u.
# - Energy relative to the elements, uncorrected: -1.361 eV per atom
# - Magnetization: 0.00 μB/atom
# - Density: 8.02 g/cm³
data_Ho6SiTe3As2
_chemical_formula_sum 'Ho12 Si2 Te6 As4'
_cell_length_a 18.5721
_cell_length_b 4.1864
_cell_length_c 8.5409
_cell_angle_alpha 90.00
_cell_angle_beta 104.86
_cell_angle_gamma 90.00
_symmetry_space_group_name_H-M 'C 1 2/m 1'
_symmetry_Int_Tables_number 12
loop_
_symmetry_equiv_pos_as_xyz
'x,y,z'
'-x,-y,-z'
'-x,y,-z'
'x,-y,z'
'x+1/2,y+1/2,z'
'-x+1/2,-y+1/2,-z'
'-x+1/2,y+1/2,-z'
'x+1/2,-y+1/2,z'
loop_
_atom_site_label
_atom_site_fract_x
_atom_site_fract_y
_atom_site_fract_z
Ho1 0.0054 0.0000 0.2281
Ho2 0.1568 0.5000 0.0974
Ho3 0.1732 0.5000 0.5660
Si1 0.0000 0.5000 0.0000
Te1 0.0000 0.5000 0.5000
Te2 0.1685 0.0000 0.8331
As1 0.1670 0.0000 0.3342



Entry 2:
# KTbCe2Se4, relaxed, DFT GGA-PBE
# - Calculated total energy: -0.414 Ry per atom
# - Volume: 220 Å³/f.u.
# - Energy relative to the elements, uncorrected: -1.690 eV per atom
# - Magnetization: 0.31 μB/atom
# - Density: 6.00 g/cm³
data_KTbCe2Se4
_chemical_formula_sum 'K1 Tb1 Ce2 Se4'
_cell_length_a 7.4042
_cell_length_b 4.2186
_cell_length_c 7.4360
_cell_angle_alpha 90.00
_cell_angle_beta 108.82
_cell_angle_gamma 90.00
_symmetry_space_group_name_H-M 'P 1 2/m 1'
_symmetry_Int_Tables_number 10
loop_
_symmetry_equiv_pos_as_xyz
'x,y,z'
'-x,-y,-z'
'-x,y,-z'
'x,-y,z'
loop_
_atom_site_label
_atom_site_fract_x
_atom_site_fract_y
_atom_site_fract_z
K1 0.0000 0.0000 0.0000
Tb1 0.0000 0.5000 0.5000
Ce1 0.5000 0.0000 0.5000
Ce2 0.5000 0.5000 0.0000
Se1 0.2462 0.0000 0.7377
Se2 0.2582 0.5000 0.2677



Entry 3:
# TaSiSb2Te, relaxed, DFT GGA-PBE
# - Calculated total energy: -0.362 Ry per atom
# - Polymorph energy (0 for the lowest one): 0 meV/atom
# - Volume: 154 Å³/f.u.
# - Energy relative to the elements, uncorrected: 0.809 eV per atom
# - Magnetization: 0.14 μB/atom
# - Density: 6.25 g/cm³
data_TaSiSb2Te
_chemical_formula_sum 'Ta1 Si1 Sb2 Te1'
_cell_length_a 5.3957
_cell_length_b 5.3957
_cell_length_c 5.2983
_cell_angle_alpha 90.00
_cell_angle_beta 90.00
_cell_angle_gamma 90.00
_symmetry_space_group_name_H-M 'P 4/m m m'
_symmetry_Int_Tables_number 123
_symmetry_space_group_name_Hall '-P 4 2'
loop_
_atom_site_label
_atom_site_fract_x
_atom_site_fract_y
_atom_site_fract_z
Ta1 0.0000 0.0000 0.0000
Si1 0.5000 0.5000 0.5000
Sb1 0.0000 0.5000 0.0000
Te1 0.0000 0.0000 0.5000



Entry 4:
# VTcAs, relaxed, DFT GGA-PBE
# - Calculated total energy: -0.609 Ry per atom
# - Polymorph energy (0 for the lowest one): 0 meV/atom
# - Volume: 49 Å³/f.u.
# - Energy of formation: -23.9 kJ per mole of atoms
# - Magnetization: 0.00 μB/atom
# - Density: 7.65 g/cm³
data_VTcAs
_chemical_formula_sum 'V4 Tc4 As4'
_cell_length_a 4.3011
_cell_length_b 4.2980
_cell_length_c 10.5227
_cell_angle_alpha 90.00
_cell_angle_beta 92.29
_cell_angle_gamma 90.00
_symmetry_space_group_name_H-M 'C 1 2/m 1'
_symmetry_Int_Tables_number 12
loop_
_symmetry_equiv_pos_as_xyz
'x,y,z'
'-x,-y,-z'
'-x,y,-z'
'x,-y,z'
'x+1/2,y+1/2,z'
'-x+1/2,-y+1/2,-z'
'-x+1/2,y+1/2,-z'
'x+1/2,-y+1/2,z'
loop_
_atom_site_label
_atom_site_fract_x
_atom_site_fract_y
_atom_site_fract_z
V1 0.2427 0.0000 0.4268
Tc1 0.2302 0.5000 0.2915
As1 0.2138 0.0000 0.1434



Entry 5:
# MnP3, relaxed, DFT GGA-PBE
# - Calculated total energy: -0.478 Ry per atom
# - Polymorph energy (0 for the lowest one): 0 meV/atom
# - Volume: 53 Å³/f.u.
# - Energy of formation: -15.4 kJ per mole of atoms
# - Magnetization: 0.00 μB/atom
# - Density: 4.64 g/cm³
data_MnP3
_chemical_formula_sum 'Mn4 P12'
_cell_length_a 5.5675
_cell_length_b 6.9024
_cell_length_c 5.5081
_cell_angle_alpha 90.00
_cell_angle_beta 90.00
_cell_angle_gamma 90.00
_symmetry_space_group_name_H-M 'P n m a'
_symmetry_Int_Tables_number 62
loop_
_symmetry_equiv_pos_as_xyz
'x,y,z'
'-x,-y,-z'
'-x+1/2,-y,z+1/2'
'x+1/2,y,-z+1/2'
'x+1/2,-y+1/2,-z+1/2'
'-x+1/2,y+1/2,z+1/2'
'-x,y+1/2,-z'
'x,-y+1/2,z'
loop_
_atom_site_label
_atom_site_fract_x
_atom_site_fract_y
_atom_site_fract_z
Mn1 0.1640 0.2500 0.0156
P1 0.0494 0.2500 0.6169
P2 0.1943 0.5814 0.8756



Entry 6:
# Li4CuAs2, relaxed, DFT GGA-PBE
# - Calculated total energy: -0.254 Ry per atom
# - Volume: 131 Å³/f.u.
# - Energy of formation: -43.7 kJ per mole of atoms
# - Magnetization: 0.00 μB/atom
# - Density: 3.05 g/cm³
data_Li4CuAs2
_chemical_formula_sum 'Li12 Cu3 As6'
_cell_length_a 4.3566
_cell_length_b 4.3566
_cell_length_c 23.9971
_cell_angle_alpha 90.00
_cell_angle_beta 90.00
_cell_angle_gamma 120.00
_symmetry_space_group_name_H-M 'R -3 m'
_symmetry_Int_Tables_number 166
_symmetry_space_group_name_Hall '-R 3 2"'
loop_
_atom_site_label
_atom_site_fract_x
_atom_site_fract_y
_atom_site_fract_z
Li1 0.0000 0.0000 0.1088
Li2 0.0000 0.0000 0.2968
Cu1 0.0000 0.0000 0.5000
As1 0.0000 0.0000 0.4059



Entry 7:
# NiPOs, relaxed, DFT GGA-PBE
# - Calculated total energy: -0.565 Ry per atom
# - Volume: 40 Å³/f.u.
# - Energy of formation: -21.2 kJ per mole of atoms
# - Magnetization: 0.00 μB/atom
# - Density: 11.61 g/cm³
data_NiPOs
_chemical_formula_sum 'Ni2 P2 Os2'
_cell_length_a 4.2770
_cell_length_b 3.6610
_cell_length_c 5.3879
_cell_angle_alpha 90.00
_cell_angle_beta 108.36
_cell_angle_gamma 90.00
_symmetry_space_group_name_H-M 'P 1 21/m 1'
_symmetry_Int_Tables_number 11
loop_
_symmetry_equiv_pos_as_xyz
'x,y,z'
'-x,-y,-z'
'-x,y+1/2,-z'
'x,-y+1/2,z'
loop_
_atom_site_label
_atom_site_fract_x
_atom_site_fract_y
_atom_site_fract_z
Ni1 0.1848 0.2500 0.4274
P1 0.3505 0.7500 0.2422
Os1 0.2247 0.2500 0.9424



Entry 8:
# LiTmLuAu, relaxed, DFT GGA-PBE
# - Calculated total energy: -0.293 Ry per atom
# - Volume: 89 Å³/f.u.
# - Energy of formation: -41.9 kJ per mole of atoms
# - Magnetization: 0.00 μB/atom
# - Density: 10.25 g/cm³
data_LiTmLuAu
_chemical_formula_sum 'Li4 Tm4 Lu4 Au4'
_cell_length_a 7.0801
_cell_length_b 7.0801
_cell_length_c 7.0801
_cell_angle_alpha 90.00
_cell_angle_beta 90.00
_cell_angle_gamma 90.00
_symmetry_space_group_name_H-M 'F -4 3 m'
_symmetry_Int_Tables_number 216
_symmetry_space_group_name_Hall 'F -4 2 3'
loop_
_atom_site_label
_atom_site_fract_x
_atom_site_fract_y
_atom_site_fract_z
Li1 0.0000 0.0000 0.0000
Tm1 0.2500 0.2500 0.2500
Lu1 0.2500 0.2500 0.7500
Au1 0.0000 0.0000 0.5000



Entry 9:
# Ba2LaIn, relaxed, DFT GGA-PBE
# - Calculated total energy: -0.225 Ry per atom
# - Volume: 181 Å³/f.u.
# - Energy of formation: -17.1 kJ per mole of atoms
# - Magnetization: 0.00 μB/atom
# - Density: 4.86 g/cm³
data_Ba2LaIn
_chemical_formula_sum 'Ba2 La1 In1'
_cell_length_a 4.1741
_cell_length_b 4.1741
_cell_length_c 10.3634
_cell_angle_alpha 90.00
_cell_angle_beta 90.00
_cell_angle_gamma 90.00
_symmetry_space_group_name_H-M 'P 4 m m'
_symmetry_Int_Tables_number 99
loop_
_symmetry_equiv_pos_as_xyz
'x,y,z'
'-y,x,z'
'-x,-y,z'
'y,-x,z'
'-x,y,z'
'y,x,z'
'x,-y,z'
'-y,-x,z'
loop_
_atom_site_label
_atom_site_fract_x
_atom_site_fract_y
_atom_site_fract_z
Ba1 0.0000 0.0000 0.0000
Ba2 0.5000 0.5000 0.3482
La1 0.5000 0.5000 0.7183
In1 0.0000 0.0000 0.5639



Entry 10:
# KGa2Pd2, relaxed, DFT GGA-PBE
# - Calculated total energy: -0.287 Ry per atom
# - Polymorph energy (0 for the lowest one): 0 meV/atom
# - Volume: 104 Å³/f.u.
# - Energy of formation: -39.0 kJ per mole of atoms
# - Magnetization: 0.00 μB/atom
# - Density: 6.22 g/cm³
data_KGa2Pd2
_chemical_formula_sum 'K2 Ga4 Pd4'
_cell_length_a 4.2390
_cell_length_b 4.2390
_cell_length_c 11.6255
_cell_angle_alpha 90.00
_cell_angle_beta 90.00
_cell_angle_gamma 90.00
_symmetry_space_group_name_H-M 'I 4/m m m'
_symmetry_Int_Tables_number 139
_symmetry_space_group_name_Hall '-I 4 2'
loop_
_atom_site_label
_atom_site_fract_x
_atom_site_fract_y
_atom_site_fract_z
K1 0.0000 0.0000 0.0000
Ga1 0.0000 0.0000 0.3720
Pd1 0.0000 0.5000 0.2500



Entry 11:
# TaS2NCl, relaxed, DFT GGA-PBE
# - Calculated total energy: -0.431 Ry per atom
# - Polymorph energy (0 for the lowest one): 0 meV/atom
# - Volume: 96 Å³/f.u.
# - Energy relative to the elements, uncorrected: 0.188 eV per atom
# - Magnetization: 0.05 μB/atom
# - Density: 5.12 g/cm³
data_TaS2NCl
_chemical_formula_sum 'Ta1 S2 N1 Cl1'
_cell_length_a 4.8844
_cell_length_b 4.8844
_cell_length_c 4.0062
_cell_angle_alpha 90.00
_cell_angle_beta 90.00
_cell_angle_gamma 90.00
_symmetry_space_group_name_H-M 'P 4/m m m'
_symmetry_Int_Tables_number 123
_symmetry_space_group_name_Hall '-P 4 2'
loop_
_atom_site_label
_atom_site_fract_x
_atom_site_fract_y
_atom_site_fract_z
Ta1 0.0000 0.0000 0.0000
S1 0.0000 0.5000 0.0000
N1 0.0000 0.0000 0.5000
Cl1 0.5000 0.5000 0.5000



Entry 12:
# Rb2BI, relaxed, DFT GGA-PBE
# - Calculated total energy: -0.156 Ry per atom
# - Polymorph energy (0 for the lowest one): 3 meV/atom
# - Volume: 188 Å³/f.u.
# - Energy relative to the elements, uncorrected: 0.414 eV per atom
# - Magnetization: 0.50 μB/atom
# - Density: 2.73 g/cm³
data_Rb2BI
_chemical_formula_sum 'Rb8 B4 I4'
_cell_length_a 9.3260
_cell_length_b 9.3260
_cell_length_c 8.6495
_cell_angle_alpha 90.00
_cell_angle_beta 90.00
_cell_angle_gamma 90.00
_symmetry_space_group_name_H-M 'I -4 2 d'
_symmetry_Int_Tables_number 122
_symmetry_space_group_name_Hall 'I -4 2bw'
loop_
_atom_site_label
_atom_site_fract_x
_atom_site_fract_y
_atom_site_fract_z
Rb1 0.2182 0.7500 0.1250
B1 0.0000 0.0000 0.0000
I1 0.0000 0.0000 0.5000